Record 1
A plane-wave DFT calculation with PBE was carried out for DyScAs after structural relaxation.

The structure in POSCAR format:
```
DyScAs
1.0
-3.982 -3.216 1.603
0.525 -3.979 -6.679
4.761 -2.655 6.499
Sc Dy As
4 4 4
direct
0.750 0.564 0.878
0.250 0.436 0.122
0.750 0.064 0.878
0.250 0.936 0.122
0.250 0.679 0.607
0.750 0.321 0.393
0.250 0.179 0.607
0.750 0.821 0.393
0.750 0.936 0.123
0.250 0.064 0.877
0.750 0.436 0.123
0.250 0.564 0.877
```

As for the formation energy: -826 meV per atom. Its space group is Pmmn. The calculation puts the total energy at -72.25 eV for the cell shown.

Record 2
A plane-wave DFT calculation with PBE was carried out for DyScAs after structural relaxation.

The structure in POSCAR format:
```
DyScAs
1.0
-2.509 -3.059 0.286
6.603 -5.854 -4.684
4.213 -0.285 6.387
As Sc Dy
4 4 4
direct
0.598 0.178 0.196
0.379 0.439 0.758
0.621 0.561 0.242
0.402 0.822 0.804
0.239 0.654 0.477
0.192 0.084 0.383
0.761 0.346 0.523
0.808 0.916 0.617
0.047 0.363 0.094
0.409 0.140 0.818
0.953 0.637 0.906
0.591 0.860 0.182
```

As for the formation energy: -809 meV per atom. Its space group is C2/m. The calculation puts the total energy at -72.04 eV for the cell shown.

Record 3
A plane-wave DFT calculation with PBE was carried out for DySc3As3 after structural relaxation.

The structure in POSCAR format:
```
DySc3As3
1.0
-7.500 2.280 2.343
-6.581 -3.401 -3.473
-4.689 -4.299 3.459
As Sc Dy
6 6 2
direct
0.288 0.545 0.244
0.712 0.455 0.756
0.455 0.077 0.756
0.923 0.288 0.244
0.077 0.712 0.756
0.545 0.923 0.244
0.909 0.646 0.263
0.091 0.354 0.737
0.646 0.182 0.263
0.182 0.909 0.263
0.818 0.091 0.737
0.354 0.818 0.737
0.666 0.666 0.001
0.334 0.334 0.999
```

As for the formation energy: -1123 meV per atom. Its space group is R-3. The calculation puts the total energy at -90.81 eV for the cell shown.

Record 4
A plane-wave DFT calculation with PBE was carried out for SmDy2ScAs4 after structural relaxation.

The structure in POSCAR format:
```
SmDy2ScAs4
1.0
4.094 0.000 0.000
0.000 7.076 0.122
0.000 -2.476 6.637
Sm As Dy Sc
1 4 2 1
direct
0.500 0.500 0.000
0.500 0.761 0.757
0.000 0.241 0.751
0.500 0.239 0.243
0.000 0.759 0.249
0.500 0.000 0.500
0.000 0.500 0.500
0.000 0.000 0.000
```

As for the formation energy: -1467 meV per atom. Its space group is P2/m. The calculation puts the total energy at -50.59 eV for the cell shown.

Record 5
A plane-wave DFT calculation with PBE was carried out for SmDySc2As4 after structural relaxation.

The structure in POSCAR format:
```
SmDySc2As4
1.0
4.034 0.000 0.000
0.000 6.956 -0.127
0.000 2.456 6.535
As Sc Sm Dy
4 2 1 1
direct
0.000 0.769 0.741
0.500 0.233 0.753
0.500 0.767 0.247
0.000 0.231 0.259
0.000 0.000 0.000
0.500 0.000 0.500
0.500 0.500 0.000
0.000 0.500 0.500
```

As for the formation energy: -1435 meV per atom. Its space group is P2/m. The calculation puts the total energy at -52.06 eV for the cell shown.

Record 6
A plane-wave DFT calculation with PBE was carried out for SmDy2Sc3As6 after structural relaxation.

The structure in POSCAR format:
```
SmDy2Sc3As6
1.0
-1.743 -2.035 6.434
2.933 -4.528 -4.412
5.530 3.925 1.482
Dy As Sc Sm
2 6 3 1
direct
0.333 0.667 0.000
0.667 0.333 0.000
0.248 0.248 0.733
0.752 0.752 0.267
0.426 0.089 0.267
0.574 0.911 0.733
0.911 0.574 0.733
0.089 0.426 0.267
0.500 0.500 0.500
0.166 0.834 0.500
0.834 0.166 0.500
0.000 0.000 0.000
```

As for the formation energy: -1438 meV per atom. Its space group is C2/m. The calculation puts the total energy at -78.07 eV for the cell shown.

Record 7
A plane-wave DFT calculation with PBE was carried out for Tb2DySc3As6 after structural relaxation.

The structure in POSCAR format:
```
Tb2DySc3As6
1.0
-5.462 -4.281 0.408
6.209 -2.462 -1.927
1.194 0.999 6.748
As Tb Sc Dy
6 2 3 1
direct
0.421 0.089 0.266
0.911 0.579 0.734
0.244 0.244 0.734
0.089 0.421 0.266
0.579 0.911 0.734
0.756 0.756 0.266
0.333 0.667 0.000
0.667 0.333 0.000
0.833 0.167 0.500
0.500 0.500 0.500
0.167 0.833 0.500
0.000 0.000 0.000
```

As for the formation energy: -1445 meV per atom. Its space group is C2/m. The calculation puts the total energy at -78.09 eV for the cell shown.

Record 8
A plane-wave DFT calculation with PBE was carried out for TbDySc2As4 after structural relaxation.

The structure in POSCAR format:
```
TbDySc2As4
1.0
4.013 0.000 0.000
0.000 6.924 -0.128
0.000 2.443 6.501
As Dy Tb Sc
4 1 1 2
direct
0.000 0.234 0.256
0.500 0.235 0.754
0.500 0.765 0.246
0.000 0.766 0.744
0.000 0.500 0.500
0.500 0.500 0.000
0.500 0.000 0.500
0.000 0.000 0.000
```

As for the formation energy: -1445 meV per atom. Its space group is P2/m. The calculation puts the total energy at -52.05 eV for the cell shown.